The following is a DFT calculation (PBE-GGA) of a relaxed structure of BeAl2Pt.

- volume (Å³/f.u.) = 55.2
- SG = Cm

abc: 4.551 4.551 4.482
angles: 98.48 98.48 36.98
Atoms (fractional coordinates):
Be1 0.000 0.000 0.000
Al1 0.513 0.513 0.510
Al2 0.754 0.754 0.225
Pt1 0.261 0.261 0.750



The following is a DFT calculation (PBE-GGA) of a relaxed structure of Rb3Tl4Au2.

- volume (Å³/f.u.) = 341.2
- SG = C2/m
- E above lowest polymorph (eV/atom) = 0.013

abc: 7.157 7.157 10.460
angles: 104.36 104.36 41.34
Atoms (fractional coordinates):
Rb1 0.000 0.000 0.000
Rb2 0.322 0.322 0.358
Rb3 0.678 0.678 0.642
Tl1 0.037 0.037 0.363
Tl2 0.275 0.275 0.923
Tl3 0.725 0.725 0.077
Tl4 0.963 0.963 0.637
Au1 0.398 0.398 0.730
Au2 0.602 0.602 0.270



Number 1: energy -18.87 eV/cell, energy relative to the elements -0.4056 eV per atom, mass density 7.8 g/cm3. Number 2: energy -20.00 eV/cell, energy relative to the elements -0.1196 eV per atom, mass density 7.1 g/cm3.